# BeAgO2F, relaxed, DFT PBEsol
# Fermi-level density of states   2.8 states/eV per cell
# Formation energy without anion corrections   -0.991 eV per atom
# Space group   P4/mmm (123)
# Crystal system   tetragonal
data_BeAgO2F
_chemical_formula_sum 'Be1 Ag1 O2 F1'
_symmetry_space_group_name_H-M 'P 1'
_symmetry_Int_Tables_number 1
_symmetry_space_group_name_Hall 'P 1'
_cell_length_a 3.299
_cell_length_b 3.637
_cell_length_c 3.637
_cell_angle_alpha 90.00
_cell_angle_beta 90.00
_cell_angle_gamma 90.00
loop_
_atom_site_label
_atom_site_type_symbol
_atom_site_fract_x
_atom_site_fract_y
_atom_site_fract_z
Be1 Be 0.000 0.000 0.000
O1 O 0.000 0.000 0.500
O2 O 0.000 0.500 0.000
Ag1 Ag 0.500 0.500 0.500
F1 F 0.500 0.000 0.000

=====

# BeFeAgI2, relaxed, DFT PBEsol
# Fermi-level density of states   4.5 states/eV per cell
# Formation energy without anion corrections   1.001 eV per atom
# Space group   P4/mmm (123)
# Crystal system   tetragonal
data_BeFeAgI2
_chemical_formula_sum 'Be1 Fe1 Ag1 I2'
_symmetry_space_group_name_H-M 'P 1'
_symmetry_Int_Tables_number 1
_symmetry_space_group_name_Hall 'P 1'
_cell_length_a 5.115
_cell_length_b 5.115
_cell_length_c 4.924
_cell_angle_alpha 90.00
_cell_angle_beta 90.00
_cell_angle_gamma 90.00
loop_
_atom_site_label
_atom_site_type_symbol
_atom_site_fract_x
_atom_site_fract_y
_atom_site_fract_z
I1 I 0.000 0.500 0.000
I2 I 0.500 0.000 0.000
Be1 Be 0.500 0.500 0.500
Fe1 Fe 0.000 0.000 0.000
Ag1 Ag 0.000 0.000 0.500

=====

# RbBeGa2Ag, relaxed, DFT PBEsol
# Fermi-level density of states   2.9 states/eV per cell
# Formation energy from the elements   0.455 eV per atom
# Space group   P4/mmm (123)
# Crystal system   tetragonal
data_RbBeGa2Ag
_chemical_formula_sum 'Rb1 Be1 Ga2 Ag1'
_symmetry_space_group_name_H-M 'P 1'
_symmetry_Int_Tables_number 1
_symmetry_space_group_name_Hall 'P 1'
_cell_length_a 4.673
_cell_length_b 5.046
_cell_length_c 5.046
_cell_angle_alpha 90.00
_cell_angle_beta 90.00
_cell_angle_gamma 90.00
loop_
_atom_site_label
_atom_site_type_symbol
_atom_site_fract_x
_atom_site_fract_y
_atom_site_fract_z
Be1 Be 0.500 0.000 0.000
Ga1 Ga 0.000 0.000 0.500
Ga2 Ga 0.000 0.500 0.000
Rb1 Rb 0.500 0.500 0.500
Ag1 Ag 0.000 0.000 0.000

=====

# Be2AgGe, relaxed, DFT PBEsol
# Fermi-level density of states   1.5 states/eV per cell
# Formation energy from the elements   0.400 eV per atom
# Space group   Fm-3m (225)
# Crystal system   cubic
data_Be2AgGe
_chemical_formula_sum 'Be2 Ag1 Ge1'
_symmetry_space_group_name_H-M 'P 1'
_symmetry_Int_Tables_number 1
_symmetry_space_group_name_Hall 'P 1'
_cell_length_a 4.174
_cell_length_b 4.174
_cell_length_c 4.174
_cell_angle_alpha 60.00
_cell_angle_beta 60.00
_cell_angle_gamma 60.00
loop_
_atom_site_label
_atom_site_type_symbol
_atom_site_fract_x
_atom_site_fract_y
_atom_site_fract_z
Be1 Be 0.250 0.250 0.250
Be2 Be 0.750 0.750 0.750
Ge1 Ge 0.000 0.000 0.000
Ag1 Ag 0.500 0.500 0.500

=====

# Be2AgGe, relaxed, DFT PBEsol
# Fermi-level density of states   3.1 states/eV per cell
# Formation energy from the elements   0.598 eV per atom
# Space group   I-42d (122)
# Crystal system   tetragonal
data_Be2AgGe
_chemical_formula_sum 'Be4 Ag2 Ge2'
_symmetry_space_group_name_H-M 'P 1'
_symmetry_Int_Tables_number 1
_symmetry_space_group_name_Hall 'P 1'
_cell_length_a 5.318
_cell_length_b 5.318
_cell_length_c 5.318
_cell_angle_alpha 104.80
_cell_angle_beta 104.80
_cell_angle_gamma 119.28
loop_
_atom_site_label
_atom_site_type_symbol
_atom_site_fract_x
_atom_site_fract_y
_atom_site_fract_z
Be1 Be 0.861 0.875 0.486
Be2 Be 0.389 0.375 0.514
Be3 Be 0.125 0.611 0.986
Be4 Be 0.625 0.139 0.014
Ge1 Ge 0.500 0.500 0.000
Ge2 Ge 0.750 0.250 0.500
Ag1 Ag 0.000 0.000 0.000
Ag2 Ag 0.250 0.750 0.500

=====

# LiBe2AgGe, relaxed, DFT PBEsol
# Fermi-level density of states   1.5 states/eV per cell
# Formation energy from the elements   0.555 eV per atom
# Space group   P4/mmm (123)
# Crystal system   tetragonal
data_LiBe2AgGe
_chemical_formula_sum 'Li1 Be2 Ag1 Ge1'
_symmetry_space_group_name_H-M 'P 1'
_symmetry_Int_Tables_number 1
_symmetry_space_group_name_Hall 'P 1'
_cell_length_a 4.179
_cell_length_b 4.179
_cell_length_c 5.037
_cell_angle_alpha 90.00
_cell_angle_beta 90.00
_cell_angle_gamma 90.00
loop_
_atom_site_label
_atom_site_type_symbol
_atom_site_fract_x
_atom_site_fract_y
_atom_site_fract_z
Be1 Be 0.000 0.500 0.000
Be2 Be 0.500 0.000 0.000
Ge1 Ge 0.000 0.000 0.000
Ag1 Ag 0.000 0.000 0.500
Li1 Li 0.500 0.500 0.500

=====

# BeNiAg2Ge, relaxed, DFT PBEsol
# Fermi-level density of states   2.4 states/eV per cell
# Formation energy from the elements   0.958 eV per atom
# Space group   P4/mmm (123)
# Crystal system   tetragonal
data_BeNiAg2Ge
_chemical_formula_sum 'Be1 Ni1 Ag2 Ge1'
_symmetry_space_group_name_H-M 'P 1'
_symmetry_Int_Tables_number 1
_symmetry_space_group_name_Hall 'P 1'
_cell_length_a 4.295
_cell_length_b 4.700
_cell_length_c 4.700
_cell_angle_alpha 90.00
_cell_angle_beta 90.00
_cell_angle_gamma 90.00
loop_
_atom_site_label
_atom_site_type_symbol
_atom_site_fract_x
_atom_site_fract_y
_atom_site_fract_z
Ni1 Ni 0.500 0.000 0.000
Ge1 Ge 0.000 0.000 0.000
Ag1 Ag 0.000 0.000 0.500
Ag2 Ag 0.000 0.500 0.000
Be1 Be 0.500 0.500 0.500

=====

# BeAgH2, relaxed, DFT PBEsol
# Fermi-level density of states   1.0 states/eV per cell
# E   -0.0974 hartree per atom
# Space group   Fm-3m (225)
# Crystal system   cubic
data_BeAgH2
_chemical_formula_sum 'Be1 Ag1 H2'
_symmetry_space_group_name_H-M 'P 1'
_symmetry_Int_Tables_number 1
_symmetry_space_group_name_Hall 'P 1'
_cell_length_a 3.624
_cell_length_b 3.624
_cell_length_c 3.624
_cell_angle_alpha 60.00
_cell_angle_beta 60.00
_cell_angle_gamma 60.00
loop_
_atom_site_label
_atom_site_type_symbol
_atom_site_fract_x
_atom_site_fract_y
_atom_site_fract_z
Be1 Be 0.000 0.000 0.000
Ag1 Ag 0.500 0.500 0.500
H1 H 0.250 0.250 0.250
H2 H 0.750 0.750 0.750

=====

# BeAg3H, relaxed, DFT PBEsol
# Fermi-level density of states   2.3 states/eV per cell
# E   -0.0912 hartree per atom
# Space group   Pm-3m (221)
# Crystal system   cubic
data_BeAg3H
_chemical_formula_sum 'Be1 Ag3 H1'
_symmetry_space_group_name_H-M 'P 1'
_symmetry_Int_Tables_number 1
_symmetry_space_group_name_Hall 'P 1'
_cell_length_a 4.347
_cell_length_b 4.347
_cell_length_c 4.347
_cell_angle_alpha 90.00
_cell_angle_beta 90.00
_cell_angle_gamma 90.00
loop_
_atom_site_label
_atom_site_type_symbol
_atom_site_fract_x
_atom_site_fract_y
_atom_site_fract_z
Be1 Be 0.000 0.000 0.000
Ag1 Ag 0.000 0.500 0.000
Ag2 Ag 0.000 0.000 0.500
Ag3 Ag 0.500 0.000 0.000
H1 H 0.500 0.500 0.500

=====

# Na2BeAgH, relaxed, DFT PBEsol
# Fermi-level density of states   1.5 states/eV per cell
# E   -0.0852 hartree per atom
# Space group   P4/mmm (123)
# Crystal system   tetragonal
data_Na2BeAgH
_chemical_formula_sum 'Na2 Be1 Ag1 H1'
_symmetry_space_group_name_H-M 'P 1'
_symmetry_Int_Tables_number 1
_symmetry_space_group_name_Hall 'P 1'
_cell_length_a 3.378
_cell_length_b 4.833
_cell_length_c 4.833
_cell_angle_alpha 90.00
_cell_angle_beta 90.00
_cell_angle_gamma 90.00
loop_
_atom_site_label
_atom_site_type_symbol
_atom_site_fract_x
_atom_site_fract_y
_atom_site_fract_z
Na1 Na 0.000 0.000 0.500
Na2 Na 0.000 0.500 0.000
H1 H 0.000 0.000 0.000
Ag1 Ag 0.500 0.500 0.500
Be1 Be 0.500 0.000 0.000

=====

# BeNb2AgH, relaxed, DFT PBEsol
# Fermi-level density of states   2.5 states/eV per cell
# E   -0.2324 hartree per atom
# Space group   P4/mmm (123)
# Crystal system   tetragonal
data_BeNb2AgH
_chemical_formula_sum 'Be1 Nb2 Ag1 H1'
_symmetry_space_group_name_H-M 'P 1'
_symmetry_Int_Tables_number 1
_symmetry_space_group_name_Hall 'P 1'
_cell_length_a 3.968
_cell_length_b 4.017
_cell_length_c 4.017
_cell_angle_alpha 90.00
_cell_angle_beta 90.00
_cell_angle_gamma 90.00
loop_
_atom_site_label
_atom_site_type_symbol
_atom_site_fract_x
_atom_site_fract_y
_atom_site_fract_z
Be1 Be 0.500 0.000 0.000
Nb1 Nb 0.000 0.000 0.500
Nb2 Nb 0.000 0.500 0.000
Ag1 Ag 0.500 0.500 0.500
H1 H 0.000 0.000 0.000

=====

# Hf2Be2Ag, relaxed, DFT PBEsol
# Fermi-level density of states   6.0 states/eV per cell
# Formation energy from the elements   -0.167 eV per atom
# Space group   P4/mbm (127)
# Crystal system   tetragonal
data_Hf2Be2Ag
_chemical_formula_sum 'Hf4 Be4 Ag2'
_symmetry_space_group_name_H-M 'P 1'
_symmetry_Int_Tables_number 1
_symmetry_space_group_name_Hall 'P 1'
_cell_length_a 3.783
_cell_length_b 6.290
_cell_length_c 6.290
_cell_angle_alpha 90.00
_cell_angle_beta 90.00
_cell_angle_gamma 90.00
loop_
_atom_site_label
_atom_site_type_symbol
_atom_site_fract_x
_atom_site_fract_y
_atom_site_fract_z
Be1 Be 0.000 0.376 0.876
Be2 Be 0.000 0.876 0.624
Be3 Be 0.000 0.624 0.124
Be4 Be 0.000 0.124 0.376
Hf1 Hf 0.500 0.170 0.670
Hf2 Hf 0.500 0.670 0.830
Hf3 Hf 0.500 0.830 0.330
Hf4 Hf 0.500 0.330 0.170
Ag1 Ag 0.000 0.000 0.000
Ag2 Ag 0.000 0.500 0.500